1.
A plane-wave DFT calculation with PBE-GGA was carried out for an optimized crystal structure of Nd2Sm5Mg.

Computed properties:
Raw total energy (Ha/atom): -0.153
Energy relative to the lowest polymorph listed for this composition (eV per formula unit): 1.51
Space-group type: C2/c (15)
D(E_F) (states/eV/cell): 22.24
ΔH_f (0 K) (eV/atom): 0.191

Cell: 14.431 14.431 13.456 Å, 40.18 40.18 77.66°
Positions (direct):
Sm  0.612  0.388  0.750
Nd  0.000  0.500  0.500
Sm  0.704  0.340  0.344
Nd  0.500  0.500  0.000
Mg  0.145  0.855  0.750
Nd  0.500  0.000  0.000
Mg  0.855  0.145  0.250
Sm  0.340  0.704  0.844
Sm  0.176  0.058  0.902
Sm  0.296  0.660  0.656
Sm  0.660  0.296  0.156
Sm  0.058  0.176  0.402
Nd  0.500  0.500  0.500
Sm  0.824  0.942  0.098
Sm  0.388  0.612  0.250
Sm  0.942  0.824  0.598

2.
A plane-wave DFT calculation with PBE-GGA was carried out for an optimized crystal structure of TaBrN2O.

Computed properties:
Raw total energy (Ha/atom): -0.192
Space-group type: P4/mmm (123)
D(E_F) (states/eV/cell): 2.63
Formation energy from raw total energies (meV per atom): 1811

Cell: 4.041 4.041 3.707 Å, 90.00 90.00 90.00°
Last column: magnetic moment on the atom in μB.
Positions (direct):
N  0.500  0.000  0.000  -0.07
N  0.000  0.500  0.000  -0.07
O  0.000  0.000  0.500  -0.02
Br  0.000  0.000  0.000  0.02
Ta  0.500  0.500  0.500  0.97

3.
A plane-wave DFT calculation with PBE-GGA was carried out for an optimized crystal structure of InCoAu2.

Computed properties:
Raw total energy (Ha/atom): -0.147
Space-group type: C2/m (12)
D(E_F) (states/eV/cell): 1.98
ΔH_f (0 K) (eV/atom): 0.104

Cell: 6.163 6.163 4.400 Å, 68.88 68.88 27.92°
Last column: magnetic moment on the atom in μB.
Positions (direct):
Co  0.750  0.750  0.750  1.09
Au  0.054  0.054  0.946  0.01
In  0.250  0.250  0.250  -0.04
Au  0.446  0.446  0.554  0.01

4.
A plane-wave DFT calculation with PBE-GGA was carried out for an optimized crystal structure of PmAs2Pt5.

Computed properties:
Raw total energy (Ha/atom): -0.224
Space-group type: C2/m (12)
D(E_F) (states/eV/cell): 4.79
ΔH_f (0 K) (eV/atom): -0.576

Cell: 4.204 6.756 6.756 Å, 60.80 66.33 66.33°
Positions (direct):
Pt  0.681  0.579  0.158
Pt  0.681  0.158  0.579
Pm  0.000  0.000  0.000
As  0.287  0.258  0.258
Pt  0.319  0.421  0.842
Pt  0.000  0.500  0.500
Pt  0.319  0.842  0.421
As  0.713  0.742  0.742

5.
A plane-wave DFT calculation with PBE-GGA was carried out for an optimized crystal structure of Dy8Er2Th.

Computed properties:
Raw total energy (Ha/atom): -0.172
Energy relative to the lowest polymorph listed for this composition (eV per formula unit): 1.68
Space-group type: Cmmm (65)
D(E_F) (states/eV/cell): 18.08
ΔH_f (0 K) (eV/atom): 0.181

Cell: 5.358 8.332 8.331 Å, 104.87 90.02 90.02°
Positions (direct):
Dy  0.000  0.703  0.968
Dy  0.000  0.032  0.297
Er  0.000  0.379  0.621
Er  0.000  0.621  0.379
Dy  0.500  0.335  0.335
Dy  0.500  0.253  0.747
Dy  0.500  0.747  0.253
Dy  0.500  0.665  0.665
Dy  0.000  0.297  0.032
Th  0.500  0.000  0.000
Dy  0.000  0.968  0.703

6.
A plane-wave DFT calculation with PBE-GGA was carried out for an optimized crystal structure of Pm3Pu5H12.

Computed properties:
Raw total energy (Ha/atom): -0.241
Space-group type: Ia-3d (230)
D(E_F) (states/eV/cell): 159.54

Cell: 11.434 11.434 11.434 Å, 109.47 109.47 109.47°
Last column: magnetic moment on the atom in μB.
Positions (direct):
H  0.081  0.923  0.148  0.00
Pu  0.250  0.375  0.625  5.36
H  0.274  0.423  0.842  0.00
H  0.577  0.852  0.419  0.00
H  0.432  0.658  0.081  0.00
Pm  0.625  0.250  0.375  0.07
Pm  0.125  0.875  0.750  0.07
Pu  0.875  0.250  0.625  5.36
Pm  0.875  0.750  0.125  0.07
Pu  0.625  0.750  0.875  5.36
Pm  0.375  0.625  0.250  0.07
Pu  0.125  0.750  0.375  5.36
Pm  0.625  0.375  0.750  0.07
H  0.648  0.068  0.226  0.00
H  0.158  0.081  0.932  0.00
H  0.342  0.568  0.419  0.00
H  0.226  0.658  0.077  0.00
Pm  0.125  0.250  0.875  0.07
Pu  0.000  0.000  0.000  -5.08
H  0.932  0.581  0.158  0.00
H  0.226  0.568  0.648  0.00
H  0.581  0.648  0.423  0.00
Pu  0.750  0.125  0.875  5.36
H  0.581  0.932  0.658  0.00
H  0.432  0.774  0.852  0.00
H  0.423  0.148  0.581  0.00
Pu  0.500  0.000  0.500  -5.08
H  0.419  0.352  0.577  0.00
H  0.774  0.432  0.352  0.00
Pu  0.500  0.500  0.500  -5.08
H  0.568  0.226  0.148  0.00
Pu  0.625  0.875  0.250  5.36
Pu  0.000  0.000  0.500  -5.08
H  0.158  0.077  0.726  0.00
H  0.726  0.577  0.158  0.00
H  0.274  0.852  0.932  0.00
Pu  0.000  0.500  0.500  -5.08
Pu  0.875  0.625  0.750  5.36
Pu  0.000  0.500  0.000  -5.08
H  0.658  0.432  0.581  0.00
H  0.923  0.081  0.648  0.00
H  0.352  0.932  0.774  0.00
H  0.919  0.077  0.852  0.00
Pu  0.375  0.125  0.750  5.36
H  0.658  0.226  0.577  0.00
H  0.852  0.577  0.919  0.00
H  0.919  0.842  0.568  0.00
H  0.419  0.068  0.342  0.00
H  0.842  0.919  0.068  0.00
H  0.648  0.581  0.923  0.00
H  0.774  0.342  0.923  0.00
H  0.148  0.423  0.081  0.00
Pu  0.250  0.875  0.125  5.36
Pu  0.125  0.375  0.250  5.36
Pm  0.375  0.750  0.625  0.07
H  0.423  0.274  0.342  0.00
Pm  0.875  0.125  0.250  0.07
H  0.068  0.648  0.726  0.00
Pm  0.750  0.375  0.125  0.07
H  0.148  0.726  0.568  0.00
H  0.077  0.158  0.226  0.00
H  0.068  0.419  0.842  0.00
H  0.932  0.352  0.274  0.00
H  0.726  0.148  0.068  0.00
H  0.352  0.419  0.077  0.00
H  0.568  0.342  0.919  0.00
Pu  0.750  0.625  0.375  5.36
H  0.081  0.158  0.432  0.00
Pm  0.250  0.125  0.375  0.07
H  0.923  0.842  0.774  0.00
H  0.077  0.919  0.352  0.00
H  0.852  0.274  0.432  0.00
H  0.342  0.774  0.423  0.00
Pu  0.500  0.000  0.000  -5.08
Pm  0.250  0.625  0.875  0.07
H  0.577  0.726  0.658  0.00
Pu  0.375  0.250  0.125  5.36
Pu  0.500  0.500  0.000  -5.08
H  0.842  0.923  0.274  0.00
Pm  0.750  0.875  0.625  0.07

7.
A plane-wave DFT calculation with PBE-GGA was carried out for an optimized crystal structure of Na10B17C3.

Computed properties:
Raw total energy (Ha/atom): -0.180
Energy relative to the lowest polymorph listed for this composition (eV per formula unit): 1.15
Space-group type: Amm2 (38)
D(E_F) (states/eV/cell): 7.00
ΔH_f (0 K) (eV/atom): 0.243

Cell: 7.844 7.844 8.619 Å, 90.00 90.00 141.81°
Positions (direct):
C  0.866  0.466  0.250
Na  0.401  0.601  0.005
Na  0.801  0.201  0.499
Na  0.401  0.601  0.495
B  0.755  0.955  0.250
B  0.858  0.453  0.750
B  0.461  0.864  0.250
B  0.747  0.947  0.750
Na  0.001  0.001  0.499
B  0.515  0.121  0.750
B  0.541  0.151  0.250
B  0.253  0.058  0.750
Na  0.598  0.397  0.498
Na  0.197  0.798  0.002
B  0.951  0.741  0.250
Na  0.801  0.201  0.001
Na  0.001  0.001  0.001
Na  0.197  0.798  0.498
B  0.323  0.321  0.250
B  0.476  0.866  0.750
C  0.061  0.261  0.250
C  0.266  0.066  0.250
B  0.132  0.540  0.750
Na  0.598  0.397  0.002
B  0.121  0.523  0.250
B  0.666  0.676  0.750
B  0.921  0.715  0.750
B  0.085  0.285  0.750
B  0.340  0.332  0.750
B  0.664  0.661  0.250

8.
A plane-wave DFT calculation with PBE-GGA was carried out for an optimized crystal structure of HfSi2Rh3.

Computed properties:
Raw total energy (Ha/atom): -0.295
Space-group type: C2/m (12)
D(E_F) (states/eV/cell): 9.65
Formation energy from raw total energies (meV per atom): -880

Cell: 3.846 8.127 9.549 Å, 108.20 90.00 103.69°
Positions (direct):
Rh  0.385  0.769  0.810
Si  0.543  0.085  0.780
Si  0.195  0.390  0.128
Rh  0.037  0.074  0.322
Hf  0.842  0.684  0.311
Rh  0.680  0.359  0.955
Rh  0.781  0.561  0.611
Rh  0.219  0.439  0.389
Rh  0.500  0.000  0.500
Si  0.363  0.726  0.551
Rh  0.615  0.231  0.190
Rh  0.320  0.641  0.045
Si  0.637  0.274  0.449
Hf  0.000  0.000  0.000
Si  0.805  0.610  0.872
Si  0.457  0.915  0.220
Rh  0.963  0.926  0.678
Hf  0.158  0.316  0.689